Record 1
Na2InSbIr: optimized geometry, PBE-GGA.

Unit cell a=5.751 b=5.751 c=4.896 alpha=90.00 beta=90.00 gamma=90.00
Atoms (fractional coordinates):
Na: 0.000 0.500 0.000
Na: 0.500 0.000 0.000
In: 0.000 0.000 0.500
Sb: 0.500 0.500 0.000
Ir: 0.500 0.500 0.500

Results
Raw formation energy (eV/atom): 0.3748
SG: No. 123
V (Å³ per atom): 32.4

Record 2
Pa8CoRh5: optimized geometry, PBE-GGA.

Unit cell a=7.334 b=7.334 c=7.334 alpha=109.00 beta=109.00 gamma=110.41
Atoms (fractional coordinates):
Pa: 0.245 0.513 0.140
Pa: 0.368 0.106 0.365
Pa: 0.373 0.105 0.860
Pa: 0.487 0.627 0.732
Pa: 0.742 0.004 0.635
Pa: 0.894 0.258 0.262
Pa: 0.895 0.755 0.268
Pa: 0.996 0.632 0.738
Co: 0.250 0.750 0.500
Rh: 0.000 0.000 0.000
Rh: 0.129 0.258 0.645
Rh: 0.516 0.871 0.130
Rh: 0.614 0.484 0.355
Rh: 0.742 0.386 0.870

Results
SG: No. 82
Energy of formation from the pure elements (meV/atom): -495
V (Å³ per atom): 21.7

Record 3
PaTa2MnC4: optimized geometry, PBE-GGA.

Unit cell a=5.745 b=5.745 c=10.736 alpha=90.00 beta=90.00 gamma=147.19
Atoms (fractional coordinates):
Pa: 0.101 0.899 0.750
Pa: 0.899 0.101 0.250
Ta: 0.371 0.629 0.545
Ta: 0.371 0.629 0.955
Ta: 0.629 0.371 0.045
Ta: 0.629 0.371 0.455
Mn: 0.160 0.840 0.250
Mn: 0.840 0.160 0.750
C: 0.000 0.000 0.000
C: 0.000 0.000 0.500
C: 0.267 0.733 0.120
C: 0.267 0.733 0.380
C: 0.432 0.568 0.750
C: 0.568 0.432 0.250
C: 0.733 0.267 0.620
C: 0.733 0.267 0.880

Results
SG: No. 63
Energy of formation from the pure elements (meV/atom): -427
V (Å³ per atom): 12.0

Record 4
ZnHgMo2: optimized geometry, PBE-GGA.

Unit cell a=3.292 b=3.292 c=6.333 alpha=90.00 beta=90.00 gamma=90.00
Atoms (fractional coordinates):
Zn: 0.000 0.000 0.000
Hg: 0.500 0.500 0.253
Mo: 0.000 0.000 0.562
Mo: 0.500 0.500 0.751

Results
SG: No. 99
Energy of formation from the pure elements (meV/atom): 269
Relative energy among the computed polymorphs (eV per atom): 0.000
V (Å³ per atom): 17.2

Record 5
BaSn2Os: optimized geometry, PBE-GGA.

Unit cell a=5.145 b=5.145 c=5.145 alpha=60.00 beta=60.00 gamma=60.00
Atoms (fractional coordinates):
Ba: 0.000 0.000 0.000
Sn: 0.250 0.250 0.250
Sn: 0.750 0.750 0.750
Os: 0.500 0.500 0.500

Results
SG: No. 225
Energy of formation from the pure elements (meV/atom): 367
V (Å³ per atom): 24.1

Record 6
Ac6Sb2As3Se: optimized geometry, PBE-GGA.

Unit cell a=10.346 b=10.346 c=9.266 alpha=103.27 beta=103.27 gamma=25.79
Atoms (fractional coordinates):
Ac: 0.004 0.004 0.245
Ac: 0.332 0.332 0.426
Ac: 0.336 0.336 0.909
Ac: 0.664 0.664 0.091
Ac: 0.668 0.668 0.574
Ac: 0.996 0.996 0.755
Sb: 0.165 0.165 0.831
Sb: 0.835 0.835 0.169
As: 0.166 0.166 0.335
As: 0.500 0.500 0.000
As: 0.834 0.834 0.665
Se: 0.500 0.500 0.500

Results
Raw formation energy (eV/atom): -1.4802
SG: No. 12
V (Å³ per atom): 34.9

Record 7
Y4B: optimized geometry, PBE-GGA.

Unit cell a=5.193 b=5.193 c=5.193 alpha=90.00 beta=90.00 gamma=90.00
Atoms (fractional coordinates):
Y: 0.000 0.000 0.000
Y: 0.000 0.500 0.500
Y: 0.500 0.000 0.500
Y: 0.500 0.500 0.000
B: 0.500 0.500 0.500

Results
SG: No. 221
Energy of formation from the pure elements (meV/atom): 47
V (Å³ per atom): 28.0

Record 8
BaZnSe2: optimized geometry, PBE-GGA.

Unit cell a=6.676 b=6.676 c=6.676 alpha=141.78 beta=141.78 gamma=55.16
Atoms (fractional coordinates):
Ba: 0.000 0.000 0.000
Zn: 0.750 0.250 0.500
Se: 0.250 0.750 0.500
Se: 0.500 0.500 0.000

Results
Raw formation energy (eV/atom): -0.6774
SG: No. 119
V (Å³ per atom): 28.3

Record 9
Hf2TiIF: optimized geometry, PBE-GGA.

Unit cell a=4.771 b=4.771 c=4.094 alpha=90.00 beta=90.00 gamma=90.00
Atoms (fractional coordinates):
Hf: 0.000 0.500 0.000
Hf: 0.500 0.000 0.000
Ti: 0.000 0.000 0.500
I: 0.500 0.500 0.500
F: 0.000 0.000 0.000

Results
Raw formation energy (eV/atom): -0.1169
SG: No. 123
V (Å³ per atom): 18.6

Record 10
YNi2Ag: optimized geometry, PBE-GGA.

Unit cell a=4.712 b=4.712 c=4.712 alpha=126.01 beta=126.01 gamma=79.87
Atoms (fractional coordinates):
Y: 0.000 0.000 0.000
Ni: 0.250 0.750 0.500
Ni: 0.750 0.250 0.500
Ag: 0.500 0.500 0.000

Results
SG: No. 139
Energy of formation from the pure elements (meV/atom): -149
Relative energy among the computed polymorphs (eV per atom): 0.012
V (Å³ per atom): 16.5

Record 11
BPbO3: optimized geometry, PBE-GGA.

Unit cell a=5.716 b=5.716 c=4.777 alpha=98.68 beta=98.68 gamma=115.69
Atoms (fractional coordinates):
B: 0.104 0.896 0.000
B: 0.896 0.104 0.000
Pb: 0.344 0.656 0.500
Pb: 0.656 0.344 0.500
O: 0.067 0.678 0.759
O: 0.160 0.160 0.933
O: 0.322 0.933 0.241
O: 0.678 0.067 0.759
O: 0.840 0.840 0.067
O: 0.933 0.322 0.241

Results
Raw formation energy (eV/atom): -1.5318
SG: No. 12
V (Å³ per atom): 13.5

Record 12
Pr4AuSe2Cl: optimized geometry, PBE-GGA.

Unit cell a=7.418 b=4.175 c=7.524 alpha=90.00 beta=108.41 gamma=90.00
Atoms (fractional coordinates):
Pr: 0.241 0.000 0.239
Pr: 0.247 0.500 0.749
Pr: 0.753 0.500 0.251
Pr: 0.759 0.000 0.761
Au: 0.000 0.000 0.500
Se: 0.000 0.500 0.000
Se: 0.500 0.000 0.000
Cl: 0.500 0.500 0.500

Results
Raw formation energy (eV/atom): -1.4776
SG: No. 10
V (Å³ per atom): 27.6

Theoretical density list, top to bottom, in g/cm³: 4.87; 13.24; 12.04; 11.08; 9.74; 7.56; 4.35; 5.30; 9.81; 7.89; 6.55; 7.16